Compound: Nd5Tl2Cu2
Source: the Alexandria database
Functional: PBE
Structure: relaxed

Unit cell a=7.2923 b=8.6972 c=9.2611 alpha=118.01 beta=90.00 gamma=90.00
With the nearest neighbours (Å) after each atom.
Fractional coordinates of all 18 atoms:
Cu1 0.8771 0.3890 0.0000  1 Cu 2.63, 3 Nd 2.91-2.94
Tl1 0.5000 0.7147 0.4294  7 Nd 3.27-3.51
Nd1 0.8456 0.5588 0.7500  3 Cu 2.94-3.29, 1 Tl 3.27
Nd2 0.5000 0.5000 0.0000  2 Cu 2.91
Tl2 0.0000 0.2147 0.4294  7 Nd 3.27-3.51
Tl3 0.0000 0.7853 0.5706  7 Nd 3.27-3.51
Nd3 0.3456 0.6912 0.7500  3 Cu 2.94-3.29, 1 Tl 3.27
Nd4 0.1544 0.1912 0.7500  3 Cu 2.94-3.29, 1 Tl 3.27
Tl4 0.5000 0.2853 0.5706  7 Nd 3.27-3.51
Nd5 0.6544 0.3088 0.2500  3 Cu 2.94-3.29, 1 Tl 3.27
Cu2 0.1229 0.6110 0.0000  1 Cu 2.63, 3 Nd 2.91-2.94
Nd6 0.6544 0.0588 0.7500  3 Cu 2.94-3.29, 1 Tl 3.27
Nd7 0.1544 0.4412 0.2500  3 Cu 2.94-3.29, 1 Tl 3.27
Nd8 0.8456 0.8088 0.2500  3 Cu 2.94-3.29, 1 Tl 3.27
Cu3 0.3771 0.1110 0.0000  1 Cu 2.63, 3 Nd 2.91-2.94
Nd9 0.0000 0.0000 0.0000  2 Cu 2.91
Cu4 0.6229 0.8890 0.0000  1 Cu 2.63, 3 Nd 2.91-2.94
Nd10 0.3456 0.9412 0.2500  3 Cu 2.94-3.29, 1 Tl 3.27

Computed properties:
Formation enthalpy at 0 K   -0.18 eV/atom

Compound: Tb3Nd6Sc
Source: the Alexandria database
Functional: PBE
Structure: relaxed

Unit cell a=6.3180 b=11.1055 c=11.1055 alpha=120.48 beta=90.00 gamma=90.00
With the nearest neighbours (Å) after each atom.
Fractional coordinates of all 20 atoms:
Tb1 0.9585 0.0526 0.2794  1 Sc 3.27, 6 Nd 3.34-3.64, 1 Tb 3.66
Nd1 0.8599 0.9446 0.5240  5 Nd 3.18-3.53, 2 Tb 3.34-3.54, 2 Sc 3.37-3.46
Nd2 0.3599 0.5240 0.9446  5 Nd 3.18-3.53, 2 Tb 3.34-3.54, 2 Sc 3.37-3.46
Sc1 0.6208 0.7999 0.2001  3 Tb 3.27-3.57, 6 Nd 3.32-3.46
Nd3 0.5474 0.2908 0.3763  4 Tb 3.47-3.78, 5 Nd 3.52-3.78
Nd4 0.3599 0.0554 0.4760  5 Nd 3.18-3.53, 2 Tb 3.34-3.54, 2 Sc 3.37-3.46
Nd5 0.9078 0.0428 0.9572  1 Sc 3.32, 4 Tb 3.54-3.64, 2 Nd 3.56
Nd6 0.6511 0.2772 0.7228  4 Nd 3.18-3.46, 1 Sc 3.32, 1 Tb 3.38
Nd7 0.0474 0.7092 0.6237  4 Tb 3.47-3.78, 5 Nd 3.52-3.78
Nd8 0.4078 0.9572 0.0428  1 Sc 3.32, 4 Tb 3.54-3.64, 2 Nd 3.56
Nd9 0.0474 0.3763 0.2908  4 Tb 3.47-3.78, 5 Nd 3.52-3.78
Nd10 0.5474 0.6237 0.7092  4 Tb 3.47-3.78, 5 Nd 3.52-3.78
Tb2 0.4585 0.9474 0.7206  1 Sc 3.27, 6 Nd 3.34-3.64, 1 Tb 3.66
Tb3 0.9585 0.7206 0.9474  1 Sc 3.27, 6 Nd 3.34-3.64, 1 Tb 3.66
Tb4 0.4585 0.2794 0.0526  1 Sc 3.27, 6 Nd 3.34-3.64, 1 Tb 3.66
Tb5 0.5741 0.6154 0.3846  7 Nd 3.38-3.78, 1 Sc 3.57, 2 Tb 3.76
Nd11 0.1511 0.7228 0.2772  4 Nd 3.18-3.46, 1 Sc 3.32, 1 Tb 3.38
Nd12 0.8599 0.4760 0.0554  5 Nd 3.18-3.53, 2 Tb 3.34-3.54, 2 Sc 3.37-3.46
Tb6 0.0741 0.3846 0.6154  7 Nd 3.38-3.78, 1 Sc 3.57, 2 Tb 3.76
Sc2 0.1208 0.2001 0.7999  3 Tb 3.27-3.57, 6 Nd 3.32-3.46

Computed properties:
Formation enthalpy at 0 K   0.14 eV/atom

Compound: GdErPt4
Source: the Alexandria database
Functional: PBE
Structure: relaxed

Unit cell a=5.4363 b=5.4363 c=5.4363 alpha=60.00 beta=60.00 gamma=60.00
With the nearest neighbours (Å) after each atom.
Fractional coordinates of all 6 atoms:
Gd1 0.0000 0.0000 0.0000  12 Pt 3.19, 4 Er 3.33
Pt1 0.6248 0.1255 0.6248  6 Pt 2.71-2.72
Pt2 0.6248 0.6248 0.1255  6 Pt 2.71-2.72
Er1 0.2500 0.2500 0.2500  12 Pt 3.19, 4 Gd 3.33
Pt3 0.1255 0.6248 0.6248  6 Pt 2.71-2.72
Pt4 0.6248 0.6248 0.6248  6 Pt 2.71-2.72

Computed properties:
Formation enthalpy at 0 K   -1.12 eV/atom

Compound: GdMg2Zn
Source: the Alexandria database
Functional: PBE
Structure: relaxed

Unit cell a=3.1771 b=3.1771 c=11.1721 alpha=81.83 beta=81.83 gamma=60.00
With the nearest neighbours (Å) after each atom.
Fractional coordinates of all 4 atoms:
Zn1 0.5000 0.5000 0.5000  6 Mg 2.92, 6 Zn 3.18
Mg1 0.0979 0.0979 0.7064  3 Zn 2.92, 6 Mg 3.18, 1 Gd 3.24
Gd1 0.0000 0.0000 0.0000  6 Gd 3.18, 2 Mg 3.24
Mg2 0.9021 0.9021 0.2936  3 Zn 2.92, 6 Mg 3.18, 1 Gd 3.24

Computed properties:
Formation enthalpy at 0 K   0.19 eV/atom

Compound: Sr3In2Pt7
Source: the Alexandria database
Functional: PBE
Structure: relaxed

Unit cell a=5.7283 b=5.7283 c=9.4309 alpha=72.32 beta=72.32 gamma=60.00
With the nearest neighbours (Å) after each atom.
Fractional coordinates of all 12 atoms:
Pt1 0.4170 0.9170 0.2490  2 In 2.75-2.76, 5 Pt 2.77-2.86
In1 0.6669 0.6669 0.9993  6 Pt 2.75-2.76
Sr1 0.1404 0.1404 0.5787  12 Pt 3.24-3.38, 3 Sr 3.59
Pt2 0.5830 0.5830 0.7510  2 In 2.75-2.76, 5 Pt 2.77-2.86
Pt3 0.5830 0.0830 0.7510  2 In 2.75-2.76, 5 Pt 2.77-2.86
In2 0.3331 0.3331 0.0007  6 Pt 2.75-2.76
Pt4 0.0830 0.5830 0.7510  2 In 2.75-2.76, 5 Pt 2.77-2.86
Pt5 0.9170 0.4170 0.2490  2 In 2.75-2.76, 5 Pt 2.77-2.86
Pt6 0.5000 0.5000 0.5000  6 Pt 2.77
Pt7 0.4170 0.4170 0.2490  2 In 2.75-2.76, 5 Pt 2.77-2.86
Sr2 0.8596 0.8596 0.4213  12 Pt 3.24-3.38, 3 Sr 3.59
Sr3 0.0000 0.0000 0.0000  6 In 3.31, 12 Pt 3.61

Computed properties:
Formation enthalpy at 0 K   -0.75 eV/atom

Compound: Pu4AgO12
Source: the Alexandria database
Functional: PBE
Structure: relaxed

Unit cell a=7.0871 b=7.0871 c=7.0871 alpha=109.59 beta=109.62 gamma=109.20
With the nearest neighbours (Å) after each atom.
Fractional coordinates of all 17 atoms:
Ag1 0.0000 0.5000 0.5000  4 O 2.38
O1 0.0389 0.7887 0.2502  2 Pu 2.07
O2 0.2055 0.7058 0.9113  2 Pu 2.12
O3 0.9611 0.2113 0.7498  2 Pu 2.07
Pu1 0.0000 0.0000 0.5000  6 O 2.07-2.12
Pu2 0.5000 0.5000 0.5000  6 O 2.07-2.12
Pu3 0.5000 0.0000 0.0000  6 O 2.07-2.12
O4 0.5385 0.7887 0.7498  2 Pu 2.07
O5 0.4615 0.2113 0.2502  2 Pu 2.07
O6 0.7118 0.4674 0.7556  2 Pu 2.07
O7 0.2055 0.2942 0.4997  2 Pu 2.12
O8 0.2882 0.5326 0.2444  2 Pu 2.07
Pu4 0.0000 0.5000 0.0000  6 O 2.07-2.12
O9 0.7118 0.9562 0.2444  2 Pu 2.07
O10 0.2882 0.0438 0.7556  2 Pu 2.07
O11 0.7945 0.7058 0.5003  2 Pu 2.12
O12 0.7945 0.2942 0.0887  2 Pu 2.12

Computed properties:
Formation energy (no corrections)   -2.318 eV per atom

Size of the total moment values (in μB/cell) by entry order: 0.00 0.00 7.10 7.53 0.00 9.00.